1.
Below is a geometry-optimized BaCu2Ir structure, with properties calculated at the PBE level.

Results
Raw total energy in eV/atom: -4.389
Energy above the lowest structure with this stoichiometry in meV per atom: 397
Formation enthalpy at 0 K in kcal/mol of atoms: 8.2
Size of the total moment in μB/atom: 0.00

Cell: 3.364 4.386 5.944 Å, 90.00 102.70 90.00°
Space group P2/m (No. 10)
Inequivalent atoms, fractional coordinates:
Ba: 0.000 0.000 0.000 (multiplicity 1)
Cu: 0.296 0.500 0.650 (multiplicity 2)
Ir: 0.500 0.000 0.500 (multiplicity 1)

=====

2.
Below is a geometry-optimized BaMn2CuIr structure, with properties calculated at the PBE level.

Results
Raw total energy in eV/atom: -5.879
Formation enthalpy at 0 K in kcal/mol of atoms: 17.6
Size of the total moment in μB/atom: 1.88

Cell: 4.928 4.928 5.994 Å, 90.00 90.00 90.00°
Space group P4/mmm (No. 123)
Inequivalent atoms, fractional coordinates:
Ba: 0.000 0.000 0.000 (multiplicity 1)
Mn: 0.000 0.500 0.500 (multiplicity 2)
Cu: 0.500 0.500 0.000 (multiplicity 1)
Ir: 0.000 0.000 0.500 (multiplicity 1)